Entry 1:
DFT (PBE) results for a relaxed CaScNi2 crystal.

Calculated values
E above lowest polymorph: 265 meV per atom
theoretical density: 4.747 g/cm3
total magnetization: 0.0 μB per cell

Cell and atoms, written as CIF:
```
data_CaScNi2
_symmetry_space_group_name_H-M 'I -4 m 2'
_symmetry_Int_Tables_number 119
_symmetry_space_group_name_Hall 'I -4 -2'
_cell_length_a 3.857
_cell_length_b 3.857
_cell_length_c 9.519
_cell_angle_alpha 90.00
_cell_angle_beta 90.00
_cell_angle_gamma 90.00
loop_
_atom_site_label
_atom_site_type_symbol
_atom_site_fract_x
_atom_site_fract_y
_atom_site_fract_z
_atom_site_occupancy
Ca1 Ca 0.000 0.000 0.000 1
Sc1 Sc 0.000 0.500 0.250 1
Ni1 Ni 0.000 0.000 0.500 1
Ni2 Ni 0.000 0.500 0.750 1
```

***

Entry 2:
DFT (PBE) results for a relaxed ErSiNiN crystal.

Calculated values
theoretical density: 8.268 g/cm3
formation energy (no corrections): -109 kJ per mole of atoms
total magnetization: 0.0 μB per cell

Cell and atoms, written as CIF:
```
data_ErSiNiN
_symmetry_space_group_name_H-M 'P 4/n m m'
_symmetry_Int_Tables_number 129
_cell_length_a 3.614
_cell_length_b 3.614
_cell_length_c 8.245
_cell_angle_alpha 90.00
_cell_angle_beta 90.00
_cell_angle_gamma 90.00
loop_
_symmetry_equiv_pos_as_xyz
'x,y,z'
'-x,-y,-z'
'-y+1/2,x,z'
'y+1/2,-x,-z'
'-x+1/2,-y+1/2,z'
'x+1/2,y+1/2,-z'
'y,-x+1/2,z'
'-y,x+1/2,-z'
'x+1/2,-y,-z'
'-x+1/2,y,z'
'-y,-x,-z'
'y,x,z'
'-x,y+1/2,-z'
'x,-y+1/2,z'
'y+1/2,x+1/2,-z'
'-y+1/2,-x+1/2,z'
loop_
_atom_site_label
_atom_site_type_symbol
_atom_site_fract_x
_atom_site_fract_y
_atom_site_fract_z
_atom_site_occupancy
Er1 Er 0.250 0.250 0.151 1
Si1 Si 0.250 0.250 0.664 1
Ni1 Ni 0.250 0.750 0.500 1
N1 N 0.250 0.250 0.878 1
```

***

Entry 3:
DFT (PBE) results for a relaxed KFe2Ni crystal.

Calculated values
E above lowest polymorph: 669 meV per atom
theoretical density: 5.233 g/cm3
total magnetization: 12.9 μB per cell

Cell and atoms, written as CIF:
```
data_KFe2Ni
_symmetry_space_group_name_H-M 'I 4/m m m'
_symmetry_Int_Tables_number 139
_symmetry_space_group_name_Hall '-I 4 2'
_cell_length_a 3.843
_cell_length_b 3.843
_cell_length_c 9.003
_cell_angle_alpha 90.00
_cell_angle_beta 90.00
_cell_angle_gamma 90.00
loop_
_atom_site_label
_atom_site_type_symbol
_atom_site_fract_x
_atom_site_fract_y
_atom_site_fract_z
_atom_site_occupancy
K1 K 0.000 0.000 0.000 1
Fe1 Fe 0.000 0.500 0.250 1
Ni1 Ni 0.000 0.000 0.500 1
```

***

Entry 4:
DFT (PBE) results for a relaxed Co2TcAuN crystal.

Calculated values
theoretical density: 11.588 g/cm3
formation energy (no corrections): 10 kJ per mole of atoms
total magnetization: 3.2 μB per cell

Cell and atoms, written as CIF:
```
data_Co2TcAuN
_symmetry_space_group_name_H-M 'P 4/m m m'
_symmetry_Int_Tables_number 123
_symmetry_space_group_name_Hall '-P 4 2'
_cell_length_a 3.922
_cell_length_b 3.922
_cell_length_c 3.977
_cell_angle_alpha 90.00
_cell_angle_beta 90.00
_cell_angle_gamma 90.00
loop_
_atom_site_label
_atom_site_type_symbol
_atom_site_fract_x
_atom_site_fract_y
_atom_site_fract_z
_atom_site_occupancy
Co1 Co 0.000 0.500 0.000 1
Tc1 Tc 0.000 0.000 0.500 1
Au1 Au 0.500 0.500 0.500 1
N1 N 0.000 0.000 0.000 1
```

***

Entry 5:
DFT (PBE) results for a relaxed DyCuSi2Pt2 crystal.

Calculated values
theoretical density: 11.088 g/cm3
formation energy (no corrections): -81 kJ per mole of atoms
total magnetization: 0.0 μB per cell

Cell and atoms, written as CIF:
```
data_DyCuSi2Pt2
_symmetry_space_group_name_H-M 'P -3 m 1'
_symmetry_Int_Tables_number 164
_symmetry_space_group_name_Hall '-P 3 2"'
_cell_length_a 4.1845
_cell_length_b 4.1845
_cell_length_c 6.6407
_cell_angle_alpha 90.00
_cell_angle_beta 90.00
_cell_angle_gamma 120.00
loop_
_atom_site_label
_atom_site_type_symbol
_atom_site_fract_x
_atom_site_fract_y
_atom_site_fract_z
_atom_site_occupancy
Dy1 Dy 0.0000 0.0000 0.0000 1
Cu1 Cu 0.0000 0.0000 0.5000 1
Si1 Si 0.3333 0.6667 0.6989 1
Pt1 Pt 0.3333 0.6667 0.3038 1
```

***

Entry 6:
DFT (PBE) results for a relaxed TmMgMnC crystal.

Calculated values
theoretical density: 6.428 g/cm3
total magnetization: 1.1 μB per cell
uncorrected energy: -48.18 eV for the cell shown

Cell and atoms, written as CIF:
```
data_TmMgMnC
_symmetry_space_group_name_H-M 'P 4/n m m'
_symmetry_Int_Tables_number 129
_cell_length_a 3.647
_cell_length_b 3.647
_cell_length_c 10.107
_cell_angle_alpha 90.00
_cell_angle_beta 90.00
_cell_angle_gamma 90.00
loop_
_symmetry_equiv_pos_as_xyz
'x,y,z'
'-x,-y,-z'
'-y+1/2,x,z'
'y+1/2,-x,-z'
'-x+1/2,-y+1/2,z'
'x+1/2,y+1/2,-z'
'y,-x+1/2,z'
'-y,x+1/2,-z'
'x+1/2,-y,-z'
'-x+1/2,y,z'
'-y,-x,-z'
'y,x,z'
'-x,y+1/2,-z'
'x,-y+1/2,z'
'y+1/2,x+1/2,-z'
'-y+1/2,-x+1/2,z'
loop_
_atom_site_label
_atom_site_type_symbol
_atom_site_fract_x
_atom_site_fract_y
_atom_site_fract_z
_atom_site_occupancy
Tm1 Tm 0.250 0.250 0.213 1
Mg1 Mg 0.250 0.750 0.500 1
Mn1 Mn 0.250 0.750 0.000 1
C1 C 0.250 0.250 0.920 1
```

***

Entry 7:
DFT (PBE) results for a relaxed ErAg3Au7 crystal.

Calculated values
theoretical density: 13.610 g/cm3
total magnetization: 0.0 μB per cell
uncorrected energy: -73.80 eV for the cell shown

Cell and atoms, written as CIF:
```
data_ErAg3Au7
_symmetry_space_group_name_H-M 'C 1 2/m 1'
_symmetry_Int_Tables_number 12
_cell_length_a 8.514
_cell_length_b 10.090
_cell_length_c 5.711
_cell_angle_alpha 90.00
_cell_angle_beta 111.58
_cell_angle_gamma 90.00
loop_
_symmetry_equiv_pos_as_xyz
'x,y,z'
'-x,-y,-z'
'-x,y,-z'
'x,-y,z'
'x+1/2,y+1/2,z'
'-x+1/2,-y+1/2,-z'
'-x+1/2,y+1/2,-z'
'x+1/2,-y+1/2,z'
loop_
_atom_site_label
_atom_site_type_symbol
_atom_site_fract_x
_atom_site_fract_y
_atom_site_fract_z
_atom_site_occupancy
Er1 Er 0.000 0.000 0.000 1
Ag1 Ag 0.000 0.268 0.500 1
Ag2 Ag 0.000 0.500 0.000 1
Au1 Au 0.000 0.000 0.500 1
Au2 Au 0.170 0.256 0.169 1
Au3 Au 0.186 0.500 0.548 1
```

***

Entry 8:
DFT (PBE) results for a relaxed Ac2PuSn crystal.

Calculated values
E above lowest polymorph: 0 meV per atom
theoretical density: 9.966 g/cm3
total magnetization: 6.8 μB per cell

Cell and atoms, written as CIF:
```
data_Ac2PuSn
_symmetry_space_group_name_H-M 'P 4/m m m'
_symmetry_Int_Tables_number 123
_symmetry_space_group_name_Hall '-P 4 2'
_cell_length_a 5.278
_cell_length_b 5.278
_cell_length_c 4.886
_cell_angle_alpha 90.00
_cell_angle_beta 90.00
_cell_angle_gamma 90.00
loop_
_atom_site_label
_atom_site_type_symbol
_atom_site_fract_x
_atom_site_fract_y
_atom_site_fract_z
_atom_site_occupancy
Ac1 Ac 0.000 0.500 0.000 1
Pu1 Pu 0.000 0.000 0.500 1
Sn1 Sn 0.500 0.500 0.500 1
```

***

Entry 9:
DFT (PBE) results for a relaxed PmBe2Os crystal.

Calculated values
E above lowest polymorph: 0 meV per atom
theoretical density: 8.953 g/cm3
total magnetization: 0.0 μB per cell

Cell and atoms, written as CIF:
```
data_PmBe2Os
_symmetry_space_group_name_H-M 'C 1 2/m 1'
_symmetry_Int_Tables_number 12
_cell_length_a 6.875
_cell_length_b 3.870
_cell_length_c 5.377
_cell_angle_alpha 90.00
_cell_angle_beta 113.64
_cell_angle_gamma 90.00
loop_
_symmetry_equiv_pos_as_xyz
'x,y,z'
'-x,-y,-z'
'-x,y,-z'
'x,-y,z'
'x+1/2,y+1/2,z'
'-x+1/2,-y+1/2,-z'
'-x+1/2,y+1/2,-z'
'x+1/2,-y+1/2,z'
loop_
_atom_site_label
_atom_site_type_symbol
_atom_site_fract_x
_atom_site_fract_y
_atom_site_fract_z
_atom_site_occupancy
Pm1 Pm 0.000 0.000 0.000 1
Be1 Be 0.195 0.000 0.580 1
Os1 Os 0.000 0.500 0.500 1
```

***

Entry 10:
DFT (PBE) results for a relaxed TcBiI2 crystal.

Calculated values
E above lowest polymorph: 0 meV per atom
theoretical density: 7.166 g/cm3
formation energy (no corrections): 32 kJ per mole of atoms
total magnetization: 0.0 μB per cell

Cell and atoms, written as CIF:
```
data_TcBiI2
_symmetry_space_group_name_H-M 'I -4 2 d'
_symmetry_Int_Tables_number 122
_symmetry_space_group_name_Hall 'I -4 2bw'
_cell_length_a 9.883
_cell_length_b 9.883
_cell_length_c 5.322
_cell_angle_alpha 90.00
_cell_angle_beta 90.00
_cell_angle_gamma 90.00
loop_
_atom_site_label
_atom_site_type_symbol
_atom_site_fract_x
_atom_site_fract_y
_atom_site_fract_z
_atom_site_occupancy
Tc1 Tc 0.000 0.000 0.000 1
Bi1 Bi 0.000 0.000 0.500 1
I1 I 0.111 0.250 0.125 1
```